(1)
Ac3Cd3Ir: relaxed, PBE.

Symmetry: Fd-3m, No. 227

The structure in extended XYZ format:
```
28
Lattice="0.0000 7.6248 7.6248 7.6248 0.0000 7.6248 7.6248 7.6248 0.0000" Properties=species:S:1:pos:R:3 pbc="T T T"
Ac 5.7186 5.7186 1.2119
Ac 5.7186 1.2119 5.7186
Ac 10.2254 5.7186 5.7186
Ac 9.5311 9.5311 5.0243
Ac 9.5311 5.0243 9.5311
Ac 14.0378 9.5311 9.5311
Ac 1.2119 5.7186 5.7186
Ac 5.7186 10.2254 5.7186
Ac 5.7186 5.7186 10.2254
Ac 5.0243 9.5311 9.5311
Ac 9.5311 14.0378 9.5311
Ac 9.5311 9.5311 14.0378
Cd 7.6248 3.8124 3.8124
Cd 4.5477 4.5477 4.5477
Cd 6.8895 6.8895 4.5477
Cd 6.8895 4.5477 6.8895
Cd 10.7020 8.3602 8.3602
Cd 3.8124 7.6248 3.8124
Cd 3.8124 3.8124 7.6248
Cd 7.6248 7.6248 7.6248
Cd 4.5477 6.8895 6.8895
Cd 8.3602 10.7020 8.3602
Cd 8.3602 8.3602 10.7020
Cd 10.7020 10.7020 10.7020
Ir 0.0000 0.0000 0.0000
Ir 3.8124 3.8124 0.0000
Ir 3.8124 0.0000 3.8124
Ir 0.0000 3.8124 3.8124
```

(2)
Ac2Cd3Ir2: relaxed, PBE.

Symmetry: C2/m, No. 12

The structure in extended XYZ format:
```
14
Lattice="10.8276 0.0000 0.0000 0.0000 4.4177 0.0000 -1.1453 0.0000 7.4281" Properties=species:S:1:pos:R:3 pbc="T T T"
Ac 0.9593 0.0000 2.6092
Ac 3.3092 2.2088 4.8189
Ac 6.3731 2.2088 2.6092
Ac 8.7230 0.0000 4.8189
Cd 0.0000 2.2088 0.0000
Cd 1.0104 0.0000 6.4573
Cd 3.2582 2.2088 0.9708
Cd 5.4138 0.0000 0.0000
Cd 6.4242 2.2088 6.4573
Cd 8.6720 0.0000 0.9708
Ir 0.1062 2.2088 4.8327
Ir 4.1623 0.0000 2.5953
Ir 5.5200 0.0000 4.8327
Ir 9.5762 2.2088 2.5953
```

(3)
Ac6Cd2Ir: relaxed, PBE.

Symmetry: Imm2, No. 44

The structure in extended XYZ format:
```
18
Lattice="-5.2504 5.4617 5.7101 5.2504 -5.4617 5.7101 5.2504 5.4617 -5.7101" Properties=species:S:1:pos:R:3 pbc="T T T"
Ac 2.9734 -1.9948 2.5862
Ac 7.5274 -1.9948 2.5862
Ac 0.0000 1.7924 0.0000
Ac 5.2504 3.6681 -0.5372
Ac 2.9734 1.9948 2.5862
Ac 7.5274 1.9948 2.5862
Ac 1.7845 5.4617 0.0224
Ac 3.4659 0.0000 5.7325
Ac 0.0000 1.7936 5.1729
Ac 0.0000 9.1310 0.0000
Ac -1.7842 5.4617 5.1484
Ac 1.7842 5.4617 5.1484
Cd 0.0000 3.9862 2.5858
Cd 3.8725 5.4617 2.5858
Cd 1.3779 0.0000 8.2959
Cd 0.0000 6.9372 2.5858
Ir 0.0000 0.0000 2.5884
Ir 5.2504 0.0000 2.5906
```

(4)
Ac12Cd3Ir5: relaxed, PBE.

Symmetry: Ia-3d, No. 230

The structure in extended XYZ format:
```
80
Lattice="-9.2564 9.2564 9.2564 9.2564 -9.2564 9.2564 9.2564 9.2564 -9.2564" Properties=species:S:1:pos:R:3 pbc="T T T"
Ac 2.7543 -0.5289 1.0532
Ac 11.1302 5.6814 -5.1571
Ac 12.0107 0.5289 1.0532
Ac 11.1302 -3.5749 5.1571
Ac 8.7274 -1.0532 2.7543
Ac 14.4135 -1.8739 3.5749
Ac 1.0532 2.7543 -0.5289
Ac 12.8313 4.0993 -1.8739
Ac 5.6814 5.1571 -1.8739
Ac 8.2031 2.7543 0.5289
Ac -0.5289 1.0532 2.7543
Ac 5.1571 -1.8739 5.6814
Ac 8.7274 8.2031 -2.7543
Ac 5.1571 1.8739 3.5749
Ac 5.6814 -5.1571 11.1302
Ac 8.2031 -2.7543 8.7274
Ac 3.5749 5.1571 1.8739
Ac 10.3096 6.5020 0.5289
Ac 5.1571 11.1302 -3.5749
Ac 8.7274 1.0532 6.5020
Ac 2.7543 8.7274 -1.0532
Ac 11.1302 3.5749 4.0993
Ac 1.8739 3.5749 5.1571
Ac 2.7543 0.5289 8.2031
Ac 6.5020 8.7274 1.0532
Ac 7.3825 5.6814 4.0993
Ac -1.8739 5.6814 5.1571
Ac 6.5020 0.5289 10.3096
Ac 0.5289 8.2031 2.7543
Ac 4.0993 -1.8739 12.8313
Ac -1.0532 2.7543 8.7274
Ac 5.6814 4.0993 7.3825
Ac 1.0532 12.0107 0.5289
Ac 3.5749 14.4135 -1.8739
Ac 4.0993 7.3825 5.6814
Ac 0.5289 1.0532 12.0107
Ac 4.0993 11.1302 3.5749
Ac 9.7853 8.2031 6.5020
Ac 1.0532 6.5020 8.7274
Ac 3.5749 4.0993 11.1302
Ac -3.5749 5.1571 11.1302
Ac 8.2031 6.5020 9.7853
Ac -5.1571 11.1302 5.6814
Ac 0.5289 10.3096 6.5020
Ac -1.8739 12.8313 4.0993
Ac -2.7543 8.7274 8.2031
Ac -1.8739 3.5749 14.4135
Ac 6.5020 9.7853 8.2031
Cd 4.6282 2.3141 0.0000
Cd 9.2564 4.6282 -2.3141
Cd 2.3141 0.0000 4.6282
Cd 11.5705 0.0000 4.6282
Cd 0.0000 4.6282 2.3141
Cd 4.6282 -2.3141 9.2564
Cd 4.6282 11.5705 0.0000
Cd 9.2564 4.6282 6.9423
Cd -2.3141 9.2564 4.6282
Cd 6.9423 9.2564 4.6282
Cd 0.0000 4.6282 11.5705
Cd 4.6282 6.9423 9.2564
Ir 0.0000 0.0000 0.0000
Ir 4.6282 4.6282 -4.6282
Ir 4.6282 -4.6282 4.6282
Ir 9.2564 0.0000 0.0000
Ir 13.8845 2.3141 0.0000
Ir 9.2564 -4.6282 6.9423
Ir 6.9423 9.2564 -4.6282
Ir 6.9423 0.0000 4.6282
Ir 4.6282 6.9423 0.0000
Ir 9.2564 4.6282 2.3141
Ir -4.6282 4.6282 4.6282
Ir 0.0000 9.2564 0.0000
Ir 0.0000 0.0000 9.2564
Ir 4.6282 4.6282 4.6282
Ir 0.0000 4.6282 6.9423
Ir 4.6282 2.3141 9.2564
Ir 2.3141 9.2564 4.6282
Ir 2.3141 0.0000 13.8845
Ir 0.0000 13.8845 2.3141
Ir -4.6282 6.9423 9.2564
```

(5)
Ac2CdIr2: relaxed, PBE.

Symmetry: Immm, No. 71

The structure in extended XYZ format:
```
10
Lattice="4.5596 0.0000 0.0000 0.0000 6.2239 0.0000 0.0000 0.0000 9.1218" Properties=species:S:1:pos:R:3 pbc="T T T"
Ac 0.0000 0.0000 1.8932
Ac 0.0000 0.0000 7.2285
Ac 2.2798 3.1119 2.6676
Ac 2.2798 3.1119 6.4541
Cd 0.0000 3.1119 0.0000
Cd 2.2798 0.0000 4.5609
Ir 0.0000 1.8151 4.5609
Ir 0.0000 4.4088 4.5609
Ir 2.2798 1.2969 0.0000
Ir 2.2798 4.9270 0.0000
```

(6)
Ac4Cd2Ir: relaxed, PBE.

Symmetry: I4/mmm, No. 139

The structure in extended XYZ format:
```
14
Lattice="5.7887 0.0000 0.0000 0.0000 5.7887 0.0000 0.0000 0.0000 16.5142" Properties=species:S:1:pos:R:3 pbc="T T T"
Ac 0.0000 0.0000 2.9803
Ac 0.0000 0.0000 13.5340
Ac 0.0000 2.8943 0.0000
Ac 0.0000 2.8943 8.2571
Ac 2.8943 0.0000 0.0000
Ac 2.8943 0.0000 8.2571
Ac 2.8943 2.8943 5.2768
Ac 2.8943 2.8943 11.2374
Cd 0.0000 0.0000 6.2822
Cd 0.0000 0.0000 10.2320
Cd 2.8943 2.8943 1.9749
Cd 2.8943 2.8943 14.5394
Ir 0.0000 0.0000 0.0000
Ir 2.8943 2.8943 8.2571
```

(7)
Ac4Cd5Ir2: relaxed, PBE.

Symmetry: P2/m, No. 10

The structure in extended XYZ format:
```
11
Lattice="7.9455 0.0000 0.0000 0.0000 4.0910 0.0000 -0.8035 0.0000 10.0518" Properties=species:S:1:pos:R:3 pbc="T T T"
Ac 1.0681 0.0000 3.5154
Ac 1.0058 0.0000 9.5251
Ac 6.1362 0.0000 0.5267
Ac 6.0739 0.0000 6.5364
Cd 1.0001 2.0455 6.5904
Cd 3.4272 2.0455 1.8843
Cd 3.5710 2.0455 5.0259
Cd 3.7148 2.0455 8.1675
Cd 6.1419 2.0455 3.4614
Ir 0.4498 2.0455 1.4563
Ir 6.6921 2.0455 8.5955
```

(8)
Ac8CdIr4: relaxed, PBE.

Symmetry: F-43m, No. 216

The structure in extended XYZ format:
```
13
Lattice="0.0000 6.3871 6.3871 6.3871 0.0000 6.3871 6.3871 6.3871 0.0000" Properties=species:S:1:pos:R:3 pbc="T T T"
Ac 5.0193 5.0193 5.0193
Ac 7.7548 7.7548 5.0193
Ac 7.7548 5.0193 7.7548
Ac 11.0049 8.1563 8.1563
Ac 5.0193 7.7548 7.7548
Ac 8.1563 11.0049 8.1563
Ac 8.1563 8.1563 11.0049
Ac 11.0049 11.0049 11.0049
Cd 3.1935 3.1935 3.1935
Ir 8.0063 4.7678 4.7678
Ir 4.7678 8.0063 4.7678
Ir 4.7678 4.7678 8.0063
Ir 8.0063 8.0063 8.0063
```

(9)
Ac4Cd2Ir: relaxed, PBE.

Symmetry: C2/m, No. 12

The structure in extended XYZ format:
```
14
Lattice="12.5644 0.0000 0.0000 0.0000 4.8620 0.0000 -4.8517 0.0000 8.1299" Properties=species:S:1:pos:R:3 pbc="T T T"
Ac -0.7301 0.0000 2.8263
Ac 1.7826 2.4310 0.5333
Ac -0.3521 0.0000 7.5966
Ac 2.1606 2.4310 5.3036
Ac 5.5521 2.4310 2.8263
Ac 8.0648 0.0000 0.5333
Ac 5.9301 2.4310 7.5966
Ac 8.4428 0.0000 5.3036
Cd -1.5444 2.4310 5.3634
Cd 2.9749 0.0000 2.7665
Cd 4.7378 0.0000 5.3634
Cd 9.2571 2.4310 2.7665
Ir 0.0000 0.0000 0.0000
Ir 6.2822 2.4310 0.0000
```

(10)
Ac2CdIr2: relaxed, PBE.

Symmetry: C2/c, No. 15

The structure in extended XYZ format:
```
10
Lattice="5.3382 -2.9570 0.0000 5.3382 2.9570 0.0000 -2.4725 0.0000 8.2141" Properties=species:S:1:pos:R:3 pbc="T T T"
Ac 1.6804 2.0412 7.0104
Ac 5.2872 2.0412 5.3108
Ac 2.9167 -2.0412 2.9033
Ac 6.5234 -2.0412 1.2037
Cd 4.7200 0.8002 2.0535
Cd 3.4838 -0.8002 6.1606
Ir 2.6003 0.9316 3.9586
Ir 6.8398 0.9316 0.1485
Ir 1.3641 -0.9316 8.0657
Ir 5.6035 -0.9316 4.2555
```

(11)
Ac2CdIr9: relaxed, PBE.

Symmetry: R-3m, No. 166

The structure in extended XYZ format:
```
12
Lattice="2.6912 1.5537 9.0761 -2.6912 1.5537 9.0761 0.0000 -3.1075 9.0761" Properties=species:S:1:pos:R:3 pbc="T T T"
Ac 0.0000 0.0000 3.7357
Ac 0.0000 0.0000 23.4926
Cd 0.0000 0.0000 0.0000
Ir -1.3291 -0.7673 11.2211
Ir 0.0000 0.0000 9.0358
Ir 0.0000 -1.5347 16.0071
Ir -1.3291 0.7674 16.0071
Ir 0.0000 0.0000 13.6141
Ir 1.3291 -0.7673 11.2211
Ir 0.0000 1.5347 11.2211
Ir 0.0000 0.0000 18.1925
Ir 1.3291 0.7673 16.0071
```

(12)
Ac7CdIr2: relaxed, PBE.

Symmetry: Cmmm, No. 65

The structure in extended XYZ format:
```
10
Lattice="4.9917 -7.4108 0.0000 4.9917 7.4108 0.0000 0.0000 0.0000 5.6716" Properties=species:S:1:pos:R:3 pbc="T T T"
Ac 0.0000 0.0000 0.0000
Ac 3.1688 1.9419 0.0000
Ac 4.9917 4.4036 2.8358
Ac 3.1688 -1.9419 0.0000
Ac 6.8146 1.9419 0.0000
Ac 4.9917 -4.4036 2.8358
Ac 6.8146 -1.9419 0.0000
Cd 4.9917 0.0000 2.8358
Ir 4.9917 4.4154 0.0000
Ir 4.9917 -4.4154 0.0000
```

(13)
Ac6CdIr3: relaxed, PBE.

Symmetry: P2_1/m, No. 11

The structure in extended XYZ format:
```
20
Lattice="12.8657 0.0000 0.0000 0.0000 4.4527 0.0000 -4.2706 0.0000 12.1473" Properties=species:S:1:pos:R:3 pbc="T T T"
Ac -1.2324 1.1132 4.7749
Ac -2.6530 1.1132 11.5039
Ac 1.5384 3.3396 3.1656
Ac 0.3680 3.3396 9.2688
Ac 2.2860 1.1132 6.5358
Ac 5.1553 3.3396 1.0438
Ac 3.4398 1.1132 11.1034
Ac 6.3091 3.3396 5.6114
Ac 8.2271 1.1132 2.8785
Ac 7.0567 1.1132 8.9817
Ac 11.2481 3.3396 0.6433
Ac 9.8275 3.3396 7.3724
Cd 4.4324 1.1132 3.6612
Cd 4.1627 3.3396 8.4861
Ir -0.0695 1.1132 1.9972
Ir 0.3033 3.3396 6.0522
Ir 0.4482 1.1132 11.2044
Ir 8.1469 3.3396 0.9428
Ir 8.2918 1.1132 6.0951
Ir 8.6646 3.3396 10.1501
```

(14)
Ac12Cd6Ir: relaxed, PBE.

Symmetry: R-3, No. 148

The structure in extended XYZ format:
```
19
Lattice="6.6422 3.8349 4.8746 -6.6422 3.8349 4.8746 0.0000 -7.6698 4.8746" Properties=species:S:1:pos:R:3 pbc="T T T"
Ac -5.8382 -1.6379 7.9894
Ac -1.5006 -5.8750 6.6344
Ac -1.4989 -1.7829 5.6796
Ac -4.3376 4.2371 6.6344
Ac -0.7946 2.1895 5.6796
Ac -2.2935 0.4066 8.9443
Ac 2.2935 -0.4066 5.6796
Ac 0.7946 -2.1895 8.9443
Ac 4.3375 -4.2371 7.9895
Ac 1.4989 1.7829 8.9443
Ac 1.5007 5.8750 7.9894
Ac 5.8382 1.6379 6.6344
Cd -3.9491 0.6834 6.0076
Cd -2.5664 -3.0784 8.6162
Cd 1.3827 -3.7618 6.0076
Cd -1.3827 3.7618 8.6162
Cd 2.5664 3.0784 6.0077
Cd 3.9491 -0.6834 8.6162
Ir 0.0000 0.0000 0.0000
```

(15)
Ac3Cd9Ir2: relaxed, PBE.

Symmetry: Immm, No. 71

The structure in extended XYZ format:
```
14
Lattice="-2.4791 5.3656 6.6126 2.4791 -5.3656 6.6126 2.4791 5.3656 -6.6126" Properties=species:S:1:pos:R:3 pbc="T T T"
Ac 0.0000 0.0000 0.0000
Ac 0.0000 0.0000 4.0639
Ac 0.0000 0.0000 9.1612
Cd 2.4791 -1.5386 1.9177
Cd 2.4791 -2.3453 4.9681
Cd 2.4791 1.5386 1.9177
Cd 0.0000 3.0203 1.6445
Cd 0.0000 5.3656 0.0000
Cd 2.4791 2.3453 4.9681
Cd 0.0000 3.8270 4.6949
Cd 0.0000 7.7108 1.6445
Cd 0.0000 6.9041 4.6949
Ir 2.4791 3.7526 0.0000
Ir 0.0000 1.6129 6.6126
```

(16)
Ac6Cd2Ir: relaxed, PBE.

Symmetry: P2_1/c, No. 14

The structure in extended XYZ format:
```
18
Lattice="7.6013 0.0000 0.0000 0.0000 8.1191 0.0000 -7.3086 0.0000 11.4340" Properties=species:S:1:pos:R:3 pbc="T T T"
Ac -0.7685 0.1005 2.8439
Ac -4.4228 3.9590 8.5609
Ac 1.4173 5.5783 0.5416
Ac -2.2370 6.6003 6.2586
Ac 2.3980 1.5756 0.5323
Ac -1.2563 2.4839 6.2493
Ac 1.5490 5.6351 5.1847
Ac -2.1053 6.5435 10.9017
Ac 2.5297 1.5188 5.1754
Ac -1.1246 2.5407 10.8924
Ac 4.7155 4.1600 2.8730
Ac 1.0612 8.0186 8.5900
Cd -3.2126 0.7505 8.6538
Cd 0.4417 3.3090 2.9368
Cd -0.1491 4.8101 8.4972
Cd 3.5052 7.3685 2.7802
Ir 0.0000 0.0000 0.0000
Ir -3.6543 4.0595 5.7170
```

(17)
Ac8CdIr4: relaxed, PBE.

Symmetry: Cm, No. 8

The structure in extended XYZ format:
```
13
Lattice="10.3918 -2.2081 0.0000 10.3918 2.2081 0.0000 -9.1120 0.0000 10.6962" Properties=species:S:1:pos:R:3 pbc="T T T"
Ac 0.0000 0.0000 0.0000
Ac -6.0987 0.0000 8.0579
Ac -2.7925 0.0000 5.2414
Ac 0.7832 0.0000 7.1267
Ac 7.0866 0.0000 1.7508
Ac 10.6659 0.0000 3.6398
Ac 13.9668 0.0000 0.8239
Ac 7.8709 0.0000 8.8823
Cd 3.8791 0.0000 4.4144
Ir -1.4935 0.0000 2.5746
Ir -3.9972 0.0000 10.2173
Ir 2.7533 0.0000 9.3585
Ir 9.3614 0.0000 6.3057
```

Number 1: energy relative to the elements -0.440 eV per atom. Number 2: energy relative to the elements -0.372 eV per atom. Number 3: energy relative to the elements -0.178 eV per atom. Number 4: energy relative to the elements -0.273 eV per atom. Number 5: energy relative to the elements -0.517 eV per atom. Number 6: energy relative to the elements -0.262 eV per atom. Number 7: energy relative to the elements -0.407 eV per atom. Number 8: energy relative to the elements -0.469 eV per atom. Number 9: energy relative to the elements -0.372 eV per atom. Number 10: energy relative to the elements -0.530 eV per atom. Number 11: energy relative to the elements -0.126 eV per atom. Number 12: energy relative to the elements -0.226 eV per atom. Number 13: energy relative to the elements -0.547 eV per atom. Number 14: energy relative to the elements -0.158 eV per atom. Number 15: energy relative to the elements -0.235 eV per atom. Number 16: energy relative to the elements -0.273 eV per atom. Number 17: energy relative to the elements -0.533 eV per atom.